No. 1
## InSb2Au4 (PBE-GGA)

Data for crystalline InSb2Au4 at its relaxed geometry.

Summary:
* symmetry: No. 2
* energy above the most stable polymorph in this dataset: 0.000 eV/f.u.
* electronic total energy: -3.48 eV per atom
* uncorrected formation energy: -39 meV per atom
* crystal system: triclinic

Unit cell a=5.6190 b=8.3263 c=7.5602 alpha=101.15 beta=80.40 gamma=108.51
With the nearest neighbours (Å) after each atom.
Positions (direct):
Sb 0.2377 0.0721 0.7998  5 Au 2.77-2.97
Sb 0.7623 0.9279 0.2002  5 Au 2.77-2.97
Sb 0.7508 0.7184 0.6076  6 Au 2.82-3.08
Sb 0.2492 0.2816 0.3924  6 Au 2.82-3.08
Au 0.4557 0.4059 0.7332  3 Sb 2.77-2.87, 2 In 2.87, 3 Au 2.94-3.03
Au 0.2889 0.9874 0.1437  1 In 2.81, 4 Sb 2.81-2.97, 2 Au 2.92-3.01
Au 0.7111 0.0126 0.8563  1 In 2.81, 4 Sb 2.81-2.97, 2 Au 2.92-3.01
Au 0.0247 0.5176 0.6923  2 In 2.79-2.90, 2 Sb 2.82-3.08, 4 Au 2.92-3.11
Au 0.7249 0.1556 0.5164  2 Sb 2.77-2.86, 3 Au 2.99-3.03
Au 0.9753 0.4824 0.3077  2 In 2.79-2.90, 2 Sb 2.82-3.08, 4 Au 2.92-3.11
Au 0.5443 0.5941 0.2668  3 Sb 2.77-2.87, 2 In 2.87, 3 Au 2.94-3.03
Au 0.2751 0.8444 0.4836  2 Sb 2.77-2.86, 3 Au 2.99-3.03
In 0.2726 0.6461 0.0033  5 Au 2.79-2.90
In 0.7274 0.3539 0.9967  5 Au 2.79-2.90



No. 2
## Cd3GaCo (PBE-GGA)

Data for crystalline Cd3GaCo at its relaxed geometry.

Summary:
* symmetry: No. 221
* energy above the most stable polymorph in this dataset: 0.000 eV/f.u.
* energy of formation: 0.427 eV/atom
* electronic total energy: -2.15 eV per atom
* crystal system: cubic

Unit cell a=4.9750 b=4.9750 c=4.9750 alpha=90.00 beta=90.00 gamma=90.00
With the nearest neighbours (Å) after each atom.
Positions (direct):
Co 0.0000 0.0000 0.0000  6 Cd 2.49
Ga 0.5000 0.5000 0.5000  12 Cd 3.52
Cd 0.0000 0.5000 0.0000  2 Co 2.49
Cd 0.0000 0.0000 0.5000  2 Co 2.49
Cd 0.5000 0.0000 0.0000  2 Co 2.49



No. 3
## LaPm2Rh9 (PBE-GGA)

Data for crystalline LaPm2Rh9 at its relaxed geometry.

Summary:
* symmetry: No. 166
* energy of formation: -0.531 eV/atom
* electronic total energy: -7.25 eV per atom
* crystal system: trigonal

Unit cell a=5.3324 b=5.3324 c=9.3709 alpha=73.47 beta=73.47 gamma=60.00
With the nearest neighbours (Å) after each atom.
Positions (direct):
La 0.0000 0.0000 0.0000  18 Rh 3.08-3.45
Pm 0.8609 0.8609 0.4172  12 Rh 3.06-3.35, 3 Pm 3.41
Pm 0.1391 0.1391 0.5828  12 Rh 3.06-3.35, 3 Pm 3.41
Rh 0.6672 0.6672 0.9983  6 Rh 2.66-2.68
Rh 0.3328 0.3328 0.0017  6 Rh 2.66-2.68
Rh 0.5000 0.5000 0.5000  6 Rh 2.72
Rh 0.4180 0.4180 0.2469  7 Rh 2.66-2.72
Rh 0.9171 0.4180 0.2469  7 Rh 2.66-2.72
Rh 0.4180 0.9171 0.2469  7 Rh 2.66-2.72
Rh 0.5820 0.5820 0.7531  7 Rh 2.66-2.72
Rh 0.5820 0.0829 0.7531  7 Rh 2.66-2.72
Rh 0.0829 0.5820 0.7531  7 Rh 2.66-2.72



No. 4
## Rb2SrAgBi (PBE-GGA)

Data for crystalline Rb2SrAgBi at its relaxed geometry.

Summary:
* symmetry: No. 123
* energy of formation: 0.572 eV/atom
* electronic total energy: -1.50 eV per atom
* crystal system: tetragonal

Unit cell a=7.3019 b=5.5773 c=7.3019 alpha=90.00 beta=90.00 gamma=90.00
With the nearest neighbours (Å) after each atom.
Positions (direct):
Sr 0.0000 0.0000 0.0000  2 Ag 2.79
Rb 0.0000 0.0000 0.5000  2 Sr 3.65
Rb 0.5000 0.0000 0.0000  2 Sr 3.65
Bi 0.5000 0.5000 0.5000  8 Rb 4.59
Ag 0.0000 0.5000 0.0000  2 Sr 2.79



No. 5
## IBr2 (PBE-GGA)

Data for crystalline IBr2 at its relaxed geometry.

Summary:
* symmetry: No. 136
* energy above the most stable polymorph in this dataset: 0.207 eV/f.u.
* electronic total energy: -1.55 eV per atom
* uncorrected formation energy: 86 meV per atom
* crystal system: tetragonal

Unit cell a=6.3502 b=6.3502 c=6.1723 alpha=90.00 beta=90.00 gamma=90.00
With the nearest neighbours (Å) after each atom.
Positions (direct):
I 0.0000 0.0000 0.0000  2 Br 2.66
I 0.5000 0.5000 0.5000  2 Br 2.66
Br 0.2958 0.2958 0.0000  1 I 2.66
Br 0.7042 0.7042 0.0000  1 I 2.66
Br 0.7958 0.2042 0.5000  1 I 2.66
Br 0.2042 0.7958 0.5000  1 I 2.66



No. 6
## Sr2VPIr (PBE-GGA)

Data for crystalline Sr2VPIr at its relaxed geometry.

Summary:
* symmetry: No. 123
* energy of formation: 0.150 eV/atom
* electronic total energy: -5.20 eV per atom
* crystal system: tetragonal

Unit cell a=5.8295 b=4.3363 c=5.8295 alpha=90.00 beta=90.00 gamma=90.00
With the nearest neighbours (Å) after each atom.
Positions (direct):
Sr 0.0000 0.0000 0.5000  2 P 2.91
Sr 0.5000 0.0000 0.0000  2 P 2.91
Ir 0.0000 0.5000 0.0000  2 P 2.17
P 0.0000 0.0000 0.0000  2 Ir 2.17
V 0.5000 0.5000 0.5000  8 Sr 3.63



No. 7
## Pm3Nd2Tm7 (PBE-GGA)

Data for crystalline Pm3Nd2Tm7 at its relaxed geometry.

Summary:
* symmetry: No. 10
* energy above the most stable polymorph in this dataset: 0.028 eV/f.u.
* energy of formation: 0.092 eV/atom
* electronic total energy: -4.50 eV per atom
* crystal system: monoclinic

Unit cell a=3.5201 b=6.3306 c=17.9202 alpha=75.73 beta=90.00 gamma=90.00
With the nearest neighbours (Å) after each atom.
Positions (direct):
Pm 0.5000 0.5000 0.0000  10 Tm 3.51-3.62, 2 Pm 3.52
Pm 0.0000 0.1138 0.3414  2 Pm 3.52, 7 Tm 3.61-3.73, 4 Nd 3.61-3.66
Pm 0.0000 0.8862 0.6586  2 Pm 3.52, 7 Tm 3.61-3.73, 4 Nd 3.61-3.66
Nd 0.5000 0.6204 0.3253  5 Tm 3.42-3.50, 2 Nd 3.52, 4 Pm 3.61-3.66
Nd 0.5000 0.3796 0.6747  5 Tm 3.42-3.50, 2 Nd 3.52, 4 Pm 3.61-3.66
Tm 0.5000 0.2460 0.4996  2 Tm 3.11-3.22, 2 Nd 3.42-3.44
Tm 0.5000 0.7540 0.5004  2 Tm 3.11-3.22, 2 Nd 3.42-3.44
Tm 0.0000 0.5648 0.1627  7 Tm 3.48-3.63, 2 Nd 3.50, 3 Pm 3.52-3.73
Tm 0.0000 0.0000 0.0000  8 Tm 3.48-3.53, 4 Pm 3.62
Tm 0.0000 0.4352 0.8373  7 Tm 3.48-3.63, 2 Nd 3.50, 3 Pm 3.52-3.73
Tm 0.5000 0.9382 0.8359  1 Nd 3.49, 3 Pm 3.51-3.72, 8 Tm 3.52-3.63
Tm 0.5000 0.0618 0.1641  1 Nd 3.49, 3 Pm 3.51-3.72, 8 Tm 3.52-3.63



No. 8
## K3Na2Tl (PBE-GGA)

Data for crystalline K3Na2Tl at its relaxed geometry.

Summary:
* symmetry: No. 15
* energy of formation: -0.002 eV/atom
* electronic total energy: -1.39 eV per atom
* crystal system: monoclinic

Unit cell a=9.6798 b=9.6798 c=7.4297 alpha=69.40 beta=69.40 gamma=97.55
With the nearest neighbours (Å) after each atom.
Positions (direct):
K 0.4192 0.5808 0.2500  4 Na 3.91-4.27, 3 Tl 3.98-4.06
K 0.5808 0.4192 0.7500  4 Na 3.91-4.27, 3 Tl 3.98-4.06
K 0.0822 0.2797 0.9294  2 Tl 3.79-3.80, 5 Na 3.82-4.23
K 0.7203 0.9178 0.5706  2 Tl 3.79-3.80, 5 Na 3.82-4.23
K 0.9178 0.7203 0.0706  2 Tl 3.79-3.80, 5 Na 3.82-4.23
K 0.2797 0.0822 0.4294  2 Tl 3.79-3.80, 5 Na 3.82-4.23
Na 0.9546 0.3350 0.4409  1 Tl 3.34, 1 Na 3.68
Na 0.6650 0.0454 0.0591  1 Tl 3.34, 1 Na 3.68
Na 0.3350 0.9546 0.9409  1 Tl 3.34, 1 Na 3.68
Na 0.0454 0.6650 0.5591  1 Tl 3.34, 1 Na 3.68
Tl 0.6926 0.3074 0.2500  2 Na 3.34
Tl 0.3074 0.6926 0.7500  2 Na 3.34



No. 9
## K2Cr2Br (PBE-GGA)

Data for crystalline K2Cr2Br at its relaxed geometry.

Summary:
* symmetry: No. 123
* electronic total energy: -4.07 eV per atom
* uncorrected formation energy: 550 meV per atom
* crystal system: tetragonal

Unit cell a=6.3128 b=6.3128 c=5.1892 alpha=90.00 beta=90.00 gamma=90.00
With the nearest neighbours (Å) after each atom.
Positions (direct):
Cr 0.5000 0.5000 0.5000  8 K 4.09, 4 Cr 4.46
Cr 0.0000 0.0000 0.5000  2 Br 2.59
K 0.0000 0.5000 0.0000  2 Br 3.16
K 0.5000 0.0000 0.0000  2 Br 3.16
Br 0.0000 0.0000 0.0000  2 Cr 2.59



No. 10
## MgTaP (PBE-GGA)

Data for crystalline MgTaP at its relaxed geometry.

Summary:
* symmetry: No. 216
* energy above the most stable polymorph in this dataset: 4.153 eV/f.u.
* energy of formation: 1.124 eV/atom
* electronic total energy: -5.16 eV per atom
* crystal system: cubic

Unit cell a=4.3314 b=4.3314 c=4.3314 alpha=60.00 beta=60.00 gamma=60.00
With the nearest neighbours (Å) after each atom.
Positions (direct):
Mg 0.7500 0.7500 0.7500  4 Ta 2.65, 4 P 2.65
P 0.0000 0.0000 0.0000  4 Mg 2.65
Ta 0.5000 0.5000 0.5000  4 Mg 2.65



No. 11
## NaAc8Ir4 (PBE-GGA)

Data for crystalline NaAc8Ir4 at its relaxed geometry.

Summary:
* symmetry: No. 87
* energy of formation: -0.533 eV/atom
* electronic total energy: -5.89 eV per atom
* crystal system: tetragonal

Unit cell a=4.4522 b=10.9787 c=10.9787 alpha=87.64 beta=78.30 gamma=78.30
With the nearest neighbours (Å) after each atom.
Positions (direct):
Na 0.0000 0.0000 0.0000  8 Ac 4.35, 2 Na 4.45
Ac 0.3065 0.0415 0.3455  3 Ir 2.99-3.00
Ac 0.6935 0.9585 0.6545  3 Ir 2.99-3.00
Ac 0.6520 0.6545 0.0415  3 Ir 2.99-3.00
Ac 0.3480 0.3455 0.9585  3 Ir 2.99-3.00
Ac 0.0433 0.2954 0.6180  3 Ir 2.98-2.99
Ac 0.9567 0.7046 0.3820  3 Ir 2.98-2.99
Ac 0.6613 0.3820 0.2954  3 Ir 2.98-2.99
Ac 0.3387 0.6180 0.7046  3 Ir 2.98-2.99
Ir 0.3259 0.8261 0.5221  6 Ac 2.98-3.00
Ir 0.6741 0.1739 0.4779  6 Ac 2.98-3.00
Ir 0.8480 0.4779 0.8261  6 Ac 2.98-3.00
Ir 0.1520 0.5221 0.1739  6 Ac 2.98-3.00



No. 12
## Y2Er3N4 (PBE-GGA)

Data for crystalline Y2Er3N4 at its relaxed geometry.

Summary:
* symmetry: No. 12
* electronic total energy: -8.21 eV per atom
* uncorrected formation energy: -1552 meV per atom
* crystal system: monoclinic

Unit cell a=3.4595 b=6.0006 c=7.7556 alpha=75.28 beta=77.11 gamma=73.25
With the nearest neighbours (Å) after each atom.
Positions (direct):
Y 0.6052 0.1791 0.6105  4 N 2.36-2.48
Y 0.3948 0.8209 0.3895  4 N 2.36-2.48
Er 0.0000 0.0000 0.0000  6 N 2.45
Er 0.2052 0.4009 0.1887  5 N 2.34-2.47
Er 0.7948 0.5991 0.8113  5 N 2.34-2.47
N 0.8002 0.0998 0.2998  3 Y 2.36-2.48, 3 Er 2.45-2.47
N 0.1998 0.9002 0.7002  3 Y 2.36-2.48, 3 Er 2.45-2.47
N 0.3972 0.3022 0.9033  5 Er 2.34-2.45, 1 Y 2.46
N 0.6028 0.6978 0.0967  5 Er 2.34-2.45, 1 Y 2.46